The following is a GGA-PBE calculation of a geometry-optimized BaTcBr2 structure, from Alexandria via LeMat-Bulk.

Unit cell a=6.369 b=6.369 c=6.369 alpha=41.73 beta=41.73 gamma=41.73
Each line ends with the local moment (μB).
Sites, in units of the cell vectors:
Ba (0.750, 0.750, 0.750)  0.00
Br (0.972, 0.972, 0.972)  0.01
Br (0.528, 0.528, 0.528)  0.01
Tc (0.250, 0.250, 0.250)  0.87

The calculation puts the total energy at -4.15 eV/atom. The value obtained for the relative energy among the computed polymorphs is 130 meV/atom. As for the space group: R-3m, No. 166. Its calculated volume is 25.9 Å³ per atom. The calculation puts the energy relative to the elements, uncorrected at -23.0 kJ per mole of atoms. As for the crystal system: trigonal.


The following is a GGA-PBE calculation of a geometry-optimized Zn2CrCo2 structure, from Alexandria via LeMat-Bulk.

Unit cell a=6.150 b=6.150 c=6.150 alpha=146.82 beta=146.82 gamma=47.63
Each line ends with the local moment (μB).
Sites, in units of the cell vectors:
Zn (0.250, 0.750, 0.500)  -0.02
Zn (0.750, 0.250, 0.500)  -0.02
Cr (0.000, 0.000, 0.000)  2.99
Co (0.596, 0.596, 0.000)  0.86
Co (0.404, 0.404, 0.000)  0.86

The calculation puts the total energy at -4.78 eV/atom. The value obtained for the relative energy among the computed polymorphs is 483 meV/atom. As for the space group: I4/mmm, No. 139. Its calculated volume is 13.9 Å³ per atom. As for the crystal system: tetragonal. Its formation energy is 501 meV per atom.


The following is a GGA-PBE calculation of a geometry-optimized Mg2BiSb structure, from Alexandria via LeMat-Bulk.

Unit cell a=8.132 b=8.132 c=6.631 alpha=52.18 beta=52.18 gamma=90.00
Sites, in units of the cell vectors:
Sb (0.500, 0.500, 0.000)
Sb (0.250, 0.750, 0.500)
Mg (0.608, 0.125, 0.250)
Mg (0.142, 0.625, 0.250)
Mg (0.375, 0.392, 0.750)
Mg (0.875, 0.858, 0.750)
Bi (0.000, 0.000, 0.000)
Bi (0.750, 0.250, 0.500)

The calculation puts the total energy at -2.90 eV/atom. The value obtained for the relative energy among the computed polymorphs is 61 meV/atom. As for the space group: I-42d, No. 122. Its calculated volume is 27.3 Å³ per atom. The calculation puts the energy relative to the elements, uncorrected at -10.2 kJ per mole of atoms. As for the crystal system: tetragonal.


The following is a GGA-PBE calculation of a geometry-optimized AlSbAsSe2 structure, from Alexandria via LeMat-Bulk.

Unit cell a=4.891 b=4.891 c=4.894 alpha=90.00 beta=90.00 gamma=90.00
Sites, in units of the cell vectors:
Sb (0.500, 0.500, 0.500)
As (0.000, 0.000, 0.500)
Al (0.000, 0.000, 0.000)
Se (0.000, 0.500, 0.000)
Se (0.500, 0.000, 0.000)

The calculation puts the total energy at -3.72 eV/atom. The value obtained for the relative energy among the computed polymorphs is 0 meV/atom. As for the space group: P4/mmm, No. 123. Its calculated volume is 23.4 Å³ per atom. The calculation puts the energy relative to the elements, uncorrected at 17.1 kJ per mole of atoms. As for the crystal system: tetragonal.


The following is a GGA-PBE calculation of a geometry-optimized Tb5PrTmSc2 structure, from Alexandria via LeMat-Bulk.

Unit cell a=5.613 b=11.168 c=9.335 alpha=90.00 beta=90.00 gamma=104.55
Sites, in units of the cell vectors:
Tb (0.393, 0.786, 0.048)
Tb (0.734, 0.467, 0.831)
Tb (0.468, 0.936, 0.748)
Tb (0.307, 0.614, 0.718)
Tb (0.991, 0.981, 0.513)
Tb (0.607, 0.214, 0.548)
Tb (0.266, 0.533, 0.331)
Tb (0.532, 0.064, 0.248)
Tb (0.693, 0.386, 0.218)
Tb (0.009, 0.019, 0.013)
Pr (0.817, 0.633, 0.518)
Pr (0.183, 0.367, 0.018)
Tm (0.597, 0.194, 0.920)
Tm (0.403, 0.806, 0.420)
Sc (0.886, 0.772, 0.827)
Sc (0.136, 0.272, 0.700)
Sc (0.114, 0.228, 0.327)
Sc (0.864, 0.728, 0.200)

The calculation puts the total energy at -4.84 eV/atom. As for the space group: Cmc2_1, No. 36. Its calculated volume is 31.5 Å³ per atom. As for the crystal system: orthorhombic. Its formation energy is 169 meV per atom.


The following is a GGA-PBE calculation of a geometry-optimized Sr3LiRh structure, from Alexandria via LeMat-Bulk.

Unit cell a=11.054 b=11.054 c=11.054 alpha=60.00 beta=60.00 gamma=60.00
Sites, in units of the cell vectors:
Sr (0.691, 0.309, 0.309)
Sr (0.941, 0.559, 0.559)
Sr (0.559, 0.559, 0.941)
Sr (0.559, 0.941, 0.941)
Sr (0.941, 0.559, 0.941)
Sr (0.691, 0.309, 0.691)
Sr (0.559, 0.941, 0.559)
Sr (0.941, 0.941, 0.559)
Sr (0.309, 0.691, 0.309)
Sr (0.309, 0.691, 0.691)
Sr (0.309, 0.309, 0.691)
Sr (0.691, 0.691, 0.309)
Rh (0.625, 0.625, 0.625)
Rh (0.625, 0.125, 0.625)
Rh (0.125, 0.625, 0.625)
Rh (0.625, 0.625, 0.125)
Li (0.125, 0.125, 0.125)
Li (0.125, 0.625, 0.125)
Li (0.625, 0.125, 0.125)
Li (0.125, 0.125, 0.625)

The calculation puts the total energy at -2.83 eV/atom. The value obtained for the relative energy among the computed polymorphs is 181 meV/atom. As for the space group: Fd-3m, No. 227. Its calculated volume is 47.7 Å³ per atom. As for the crystal system: cubic. Its formation energy is 34 meV per atom.


The following is a GGA-PBE calculation of a geometry-optimized NaPm2S4 structure, from Alexandria via LeMat-Bulk.

Unit cell a=7.671 b=5.563 c=9.066 alpha=90.00 beta=118.54 gamma=90.00
Sites, in units of the cell vectors:
Na (0.247, 0.750, 0.198)
Na (0.753, 0.250, 0.802)
Pm (0.748, 0.750, 0.056)
Pm (0.252, 0.250, 0.944)
Pm (0.176, 0.250, 0.481)
Pm (0.824, 0.750, 0.519)
S (0.564, 0.497, 0.222)
S (0.985, 0.750, 0.868)
S (0.015, 0.250, 0.132)
S (0.564, 0.003, 0.222)
S (0.922, 0.250, 0.602)
S (0.436, 0.997, 0.778)
S (0.436, 0.503, 0.778)
S (0.078, 0.750, 0.398)

The calculation puts the total energy at -5.45 eV/atom. As for the space group: P2_1/m, No. 11. Its calculated volume is 24.3 Å³ per atom. The calculation puts the energy relative to the elements, uncorrected at -148.7 kJ per mole of atoms. As for the crystal system: monoclinic.


The following is a GGA-PBE calculation of a geometry-optimized LaAs2Os structure, from Alexandria via LeMat-Bulk.

Unit cell a=4.898 b=4.898 c=8.802 alpha=73.85 beta=73.85 gamma=90.00
Sites, in units of the cell vectors:
As (0.767, 0.125, 0.250)
As (0.983, 0.625, 0.250)
As (0.375, 0.233, 0.750)
As (0.875, 0.017, 0.750)
Os (0.000, 0.000, 0.000)
Os (0.750, 0.250, 0.500)
La (0.500, 0.500, 0.000)
La (0.250, 0.750, 0.500)

The calculation puts the total energy at -6.59 eV/atom. The value obtained for the relative energy among the computed polymorphs is 436 meV/atom. As for the space group: I-42d, No. 122. Its calculated volume is 24.3 Å³ per atom. As for the crystal system: tetragonal. Its formation energy is -227 meV per atom.


The following is a GGA-PBE calculation of a geometry-optimized Na5Li2Hg12 structure, from Alexandria via LeMat-Bulk.

Unit cell a=7.154 b=9.409 c=8.527 alpha=56.51 beta=88.45 gamma=90.00
Sites, in units of the cell vectors:
Na (0.542, 0.735, 0.530)
Na (0.030, 0.686, 0.627)
Na (0.500, 0.000, 0.000)
Na (0.970, 0.314, 0.373)
Na (0.458, 0.265, 0.470)
Li (0.000, 0.726, 0.000)
Li (0.000, 0.274, 0.000)
Hg (0.051, 0.102, 0.795)
Hg (0.741, 0.370, 0.703)
Hg (0.741, 0.927, 0.703)
Hg (0.314, 0.383, 0.741)
Hg (0.314, 0.876, 0.741)
Hg (0.718, 0.515, 0.971)
Hg (0.282, 0.485, 0.029)
Hg (0.686, 0.617, 0.259)
Hg (0.686, 0.124, 0.259)
Hg (0.259, 0.630, 0.297)
Hg (0.259, 0.073, 0.297)
Hg (0.949, 0.898, 0.205)

The calculation puts the total energy at -0.96 eV/atom. As for the space group: C2/m, No. 12. Its calculated volume is 25.2 Å³ per atom. As for the crystal system: monoclinic. Its formation energy is -220 meV per atom.


The following is a GGA-PBE calculation of a geometry-optimized NaTiN2O structure, from Alexandria via LeMat-Bulk.

Unit cell a=4.065 b=4.065 c=3.881 alpha=90.00 beta=90.00 gamma=90.00
Each line ends with the local moment (μB).
Sites, in units of the cell vectors:
Na (0.500, 0.500, 0.500)  0.00
N (0.000, 0.500, 0.000)  0.86
N (0.500, 0.000, 0.000)  0.86
O (0.000, 0.000, 0.500)  0.40
Ti (0.000, 0.000, 0.000)  -0.18

The calculation puts the total energy at -6.63 eV/atom. As for the space group: P4/mmm, No. 123. Its calculated volume is 12.8 Å³ per atom. The calculation puts the energy relative to the elements, uncorrected at -45.2 kJ per mole of atoms. As for the crystal system: tetragonal.


The following is a GGA-PBE calculation of a geometry-optimized Al2CuSi structure, from Alexandria via LeMat-Bulk.

Unit cell a=2.879 b=2.879 c=8.138 alpha=90.00 beta=90.00 gamma=120.00
Sites, in units of the cell vectors:
Si (0.000, 0.000, 0.000)
Al (0.667, 0.333, 0.261)
Al (0.667, 0.333, 0.739)
Cu (0.333, 0.667, 0.500)

The calculation puts the total energy at -4.24 eV/atom. As for the space group: P-6m2, No. 187. Its calculated volume is 14.6 Å³ per atom. The calculation puts the energy relative to the elements, uncorrected at 1.1 kJ per mole of atoms. As for the crystal system: hexagonal.


The following is a GGA-PBE calculation of a geometry-optimized TlCdRe structure, from Alexandria via LeMat-Bulk.

Unit cell a=4.664 b=4.664 c=4.664 alpha=60.00 beta=60.00 gamma=60.00
Each line ends with the local moment (μB).
Sites, in units of the cell vectors:
Re (0.750, 0.750, 0.750)  1.78
Tl (0.000, 0.000, 0.000)  -0.03
Cd (0.500, 0.500, 0.500)  0.01

The calculation puts the total energy at -4.05 eV/atom. The value obtained for the relative energy among the computed polymorphs is 351 meV/atom. As for the space group: F-43m, No. 216. Its calculated volume is 23.9 Å³ per atom. As for the crystal system: cubic. Its formation energy is 1188 meV per atom.


The following is a GGA-PBE calculation of a geometry-optimized RbInAs2 structure, from Alexandria via LeMat-Bulk.

Unit cell a=5.488 b=5.488 c=10.025 alpha=74.11 beta=74.11 gamma=90.00
Sites, in units of the cell vectors:
As (0.787, 0.125, 0.250)
As (0.963, 0.625, 0.250)
As (0.375, 0.213, 0.750)
As (0.875, 0.037, 0.750)
Rb (0.500, 0.500, 0.000)
Rb (0.250, 0.750, 0.500)
In (0.000, 0.000, 0.000)
In (0.750, 0.250, 0.500)

The calculation puts the total energy at -3.31 eV/atom. As for the space group: I-42d, No. 122. Its calculated volume is 34.8 Å³ per atom. As for the crystal system: tetragonal. Its formation energy is -63 meV per atom.


The following is a GGA-PBE calculation of a geometry-optimized RbUPS6 structure, from Alexandria via LeMat-Bulk.

Unit cell a=6.283 b=6.283 c=7.736 alpha=90.00 beta=90.00 gamma=60.00
Sites, in units of the cell vectors:
Rb (0.000, 0.000, 0.000)
U (0.667, 0.667, 0.500)
P (0.333, 0.333, 0.500)
S (0.036, 0.347, 0.324)
S (0.347, 0.036, 0.676)
S (0.617, 0.347, 0.676)
S (0.036, 0.617, 0.676)
S (0.347, 0.617, 0.324)
S (0.617, 0.036, 0.324)

The calculation puts the total energy at -5.31 eV/atom. As for the space group: P312, No. 149. Its calculated volume is 29.4 Å³ per atom. The calculation puts the energy relative to the elements, uncorrected at -57.1 kJ per mole of atoms. As for the crystal system: trigonal.


The following is a GGA-PBE calculation of a geometry-optimized YNbPb2I structure, from Alexandria via LeMat-Bulk.

Unit cell a=6.278 b=5.372 c=6.278 alpha=90.00 beta=90.00 gamma=90.00
Each line ends with the local moment (μB).
Sites, in units of the cell vectors:
Pb (0.000, 0.000, 0.500)  -0.05
Pb (0.500, 0.000, 0.000)  -0.07
I (0.000, 0.000, 0.000)  -0.03
Nb (0.000, 0.500, 0.000)  1.99
Y (0.500, 0.500, 0.500)  -0.02

The calculation puts the total energy at -4.02 eV/atom. As for the space group: P4/mmm, No. 123. Its calculated volume is 42.3 Å³ per atom. The calculation puts the energy relative to the elements, uncorrected at 104.1 kJ per mole of atoms. As for the crystal system: tetragonal.


The following is a GGA-PBE calculation of a geometry-optimized CePaMo structure, from Alexandria via LeMat-Bulk.

Unit cell a=3.337 b=4.746 c=4.746 alpha=120.00 beta=90.00 gamma=90.00
Sites, in units of the cell vectors:
Mo (0.016, 0.000, 0.000)
Pa (0.334, 0.667, 0.333)
Ce (0.651, 0.333, 0.667)

The calculation puts the total energy at -8.63 eV/atom. The value obtained for the relative energy among the computed polymorphs is 108 meV/atom. As for the space group: P3m1, No. 156. Its calculated volume is 21.7 Å³ per atom. As for the crystal system: trigonal. Its formation energy is 124 meV per atom.


The following is a GGA-PBE calculation of a geometry-optimized CuTcSe2 structure, from Alexandria via LeMat-Bulk.

Unit cell a=4.573 b=4.573 c=4.573 alpha=60.00 beta=60.00 gamma=60.00
Each line ends with the local moment (μB).
Sites, in units of the cell vectors:
Cu (0.500, 0.500, 0.500)  0.11
Se (0.000, 0.000, 0.000)  -0.06
Se (0.750, 0.750, 0.750)  -0.03
Tc (0.250, 0.250, 0.250)  1.88

The calculation puts the total energy at -4.58 eV/atom. The value obtained for the relative energy among the computed polymorphs is 809 meV/atom. As for the space group: F-43m, No. 216. Its calculated volume is 16.9 Å³ per atom. The calculation puts the energy relative to the elements, uncorrected at 74.8 kJ per mole of atoms. As for the crystal system: cubic.


The following is a GGA-PBE calculation of a geometry-optimized Cs8Rb6Te structure, from Alexandria via LeMat-Bulk.

Unit cell a=8.593 b=13.989 c=13.989 alpha=120.00 beta=90.00 gamma=90.00
Sites, in units of the cell vectors:
Cs (0.737, 0.042, 0.238)
Cs (0.737, 0.762, 0.803)
Cs (0.737, 0.197, 0.958)
Cs (0.263, 0.958, 0.762)
Cs (0.263, 0.238, 0.197)
Cs (0.263, 0.803, 0.042)
Cs (0.745, 0.333, 0.667)
Cs (0.255, 0.667, 0.333)
Rb (0.755, 0.611, 0.098)
Rb (0.755, 0.902, 0.513)
Rb (0.755, 0.487, 0.389)
Rb (0.245, 0.389, 0.902)
Rb (0.245, 0.098, 0.487)
Rb (0.245, 0.513, 0.611)
Te (0.500, 0.000, 0.000)

The calculation puts the total energy at -1.23 eV/atom. As for the space group: P-3, No. 147. Its calculated volume is 97.1 Å³ per atom. The calculation puts the energy relative to the elements, uncorrected at -17.7 kJ per mole of atoms. As for the crystal system: trigonal.


The following is a GGA-PBE calculation of a geometry-optimized Ac6Al2Zn structure, from Alexandria via LeMat-Bulk.

Unit cell a=5.474 b=7.740 c=9.469 alpha=114.12 beta=106.76 gamma=90.00
Sites, in units of the cell vectors:
Ac (0.164, 0.413, 0.330)
Ac (0.836, 0.083, 0.670)
Ac (0.836, 0.587, 0.670)
Ac (0.500, 0.247, 0.000)
Ac (0.164, 0.917, 0.330)
Ac (0.500, 0.753, 0.000)
Al (0.666, 0.667, 0.333)
Al (0.334, 0.333, 0.667)
Zn (0.000, 0.000, 0.000)

The calculation puts the total energy at -3.72 eV/atom. The value obtained for the relative energy among the computed polymorphs is 121 meV/atom. As for the space group: C2/m, No. 12. Its calculated volume is 38.6 Å³ per atom. As for the crystal system: monoclinic. Its formation energy is -12 meV per atom.


The following is a GGA-PBE calculation of a geometry-optimized Nd2ErOs structure, from Alexandria via LeMat-Bulk.

Unit cell a=6.450 b=7.451 c=9.467 alpha=90.00 beta=90.00 gamma=90.00
Sites, in units of the cell vectors:
Nd (0.172, 0.676, 0.064)
Nd (0.328, 0.176, 0.436)
Nd (0.828, 0.324, 0.564)
Nd (0.672, 0.824, 0.936)
Nd (0.828, 0.324, 0.936)
Nd (0.672, 0.824, 0.564)
Nd (0.172, 0.676, 0.436)
Nd (0.328, 0.176, 0.064)
Er (0.641, 0.544, 0.250)
Er (0.859, 0.044, 0.250)
Er (0.359, 0.456, 0.750)
Er (0.141, 0.956, 0.750)
Os (0.033, 0.384, 0.250)
Os (0.467, 0.884, 0.250)
Os (0.967, 0.616, 0.750)
Os (0.533, 0.116, 0.750)

The calculation puts the total energy at -6.48 eV/atom. The value obtained for the relative energy among the computed polymorphs is 0 meV/atom. As for the space group: Pnma, No. 62. Its calculated volume is 28.4 Å³ per atom. As for the crystal system: orthorhombic. Its formation energy is -151 meV per atom.